# KCu4P3O12

A relaxed structure of KCu4P3O12 (PBE, Alexandria via LeMat-Bulk).

The structure in POSCAR format:
```
KCu4P3O12
1.0
7.561 0.000 0.000
0.288 7.913 0.000
3.777 3.180 8.374
K Cu P O
2 8 6 24
Cartesian
0.827 1.635 1.430
10.799 9.458 6.944
3.332 5.474 6.497
4.280 5.064 3.496
4.273 2.070 3.306
3.654 6.397 0.345
7.972 4.697 8.029
7.353 9.023 5.068
7.345 6.029 4.879
8.294 5.620 1.877
2.453 7.352 3.719
5.903 7.182 7.414
5.684 3.548 6.295
5.941 7.546 2.079
5.723 3.911 0.960
9.173 3.741 4.655
3.243 6.317 4.582
2.256 6.766 2.281
4.429 6.934 7.048
4.379 3.864 7.061
3.027 3.554 3.989
3.164 8.691 3.643
5.909 8.500 8.255
6.511 6.009 8.204
5.509 2.206 5.505
5.999 4.701 5.322
6.838 3.291 7.331
4.866 3.661 2.263
6.760 7.433 6.111
4.788 7.802 1.043
5.626 6.392 3.052
6.117 8.887 2.869
5.114 5.084 0.171
5.717 2.594 0.119
8.462 2.403 4.731
8.599 7.539 4.386
7.247 7.229 1.313
7.197 4.159 1.327
9.370 4.328 6.094
8.383 4.776 3.792
```

Values from the calculation:
Raw formation energy = -1.554 eV per atom
DFT total energy = -6.21 eV/atom